(1)
Density functional theory data (SCAN) for a crystal of As2Se3 relaxed with PBEsol.

Properties
Calculated volume: 22.926 Å³ per atom
Raw formation energy: -0.12 eV/atom
E_tot: -20.248 eV/atom

a b c (Å): 3.7487 3.7487 9.4191
angles (deg): 90.00 90.00 120.00
Space group P-3m1 (No. 164)
One atom of each set of equivalent atoms:
As 0.3333 0.6667 0.3155 [2 per cell]
Se 0.0000 0.0000 0.5000 [1 per cell]
Se 0.3333 0.6667 0.8401 [2 per cell]



(2)
Density functional theory data (SCAN) for a crystal of AsSe5 relaxed with PBEsol.

Properties
Calculated volume: 20.763 Å³ per atom
Raw formation energy: 0.39 eV/atom
E_tot: -19.709 eV/atom

a b c (Å): 6.1430 6.1430 3.8119
angles (deg): 90.00 90.00 120.00
Space group P-62m (No. 189)
One atom of each set of equivalent atoms:
As 0.0000 0.0000 0.0000 [1 per cell]
Se 0.0000 0.6782 0.5000 [3 per cell]
Se 0.3333 0.6667 0.0000 [2 per cell]



(3)
Density functional theory data (SCAN) for a crystal of As3Se relaxed with PBEsol.

Properties
Calculated volume: 20.286 Å³ per atom
Raw formation energy: 0.26 eV/atom
E_tot: -19.902 eV/atom

a b c (Å): 3.6116 3.6116 7.1831
angles (deg): 90.00 90.00 120.00
Space group P-6m2 (No. 187)
One atom of each set of equivalent atoms:
As 0.0000 0.0000 0.0000 [1 per cell]
As 0.6667 0.3333 0.2378 [2 per cell]
Se 0.0000 0.0000 0.5000 [1 per cell]



(4)
Density functional theory data (SCAN) for a crystal of As3Se2 relaxed with PBEsol.

Properties
Calculated volume: 21.317 Å³ per atom
Raw formation energy: -0.01 eV/atom
E_tot: -20.160 eV/atom

a b c (Å): 3.6896 3.6896 27.1236
angles (deg): 90.00 90.00 120.00
Space group R-3m (No. 166, hexagonal axes)
One atom of each set of equivalent atoms:
As 0.0000 0.0000 0.0000 [3 per cell]
As 0.0000 0.0000 0.1917 [6 per cell]
Se 0.0000 0.0000 0.3923 [6 per cell]



(5)
Density functional theory data (SCAN) for a crystal of As4Se5 relaxed with PBEsol.

Properties
Calculated volume: 20.959 Å³ per atom
Raw formation energy: 0.45 eV/atom
E_tot: -19.680 eV/atom

a b c (Å): 10.743 10.743 3.269
angles (deg): 90.00 90.00 90.00
Space group I4/mmm (No. 139)
One atom of each set of equivalent atoms:
As 0.000 0.362 0.000 [8 per cell]
Se 0.000 0.000 0.000 [2 per cell]
Se 0.185 0.185 0.500 [8 per cell]



(6)
Density functional theory data (SCAN) for a crystal of As2Se3 relaxed with PBEsol.

Properties
Calculated volume: 23.972 Å³ per atom
Raw formation energy: -0.12 eV/atom
E_tot: -20.248 eV/atom

a b c (Å): 4.045 9.748 12.777
angles (deg): 90.00 107.90 90.00
Space group P2_1/c (No. 14)
One atom of each set of equivalent atoms:
As 0.088 0.170 0.486 [4 per cell]
As 0.352 0.194 0.759 [4 per cell]
Se 0.115 0.614 0.601 [4 per cell]
Se 0.332 0.083 0.342 [4 per cell]
Se 0.424 0.702 0.384 [4 per cell]



(7)
Density functional theory data (SCAN) for a crystal of As2Se3 relaxed with PBEsol.

Properties
Calculated volume: 22.940 Å³ per atom
Raw formation energy: -0.13 eV/atom
E_tot: -20.254 eV/atom

a b c (Å): 13.324 3.736 9.259
angles (deg): 90.00 95.48 90.00
Space group C2/m (No. 12)
One atom of each set of equivalent atoms:
As 0.117 0.000 0.447 [4 per cell]
As 0.200 0.500 0.140 [4 per cell]
Se 0.033 0.500 0.290 [4 per cell]
Se 0.126 0.000 0.966 [4 per cell]
Se 0.221 0.500 0.660 [4 per cell]



(8)
Density functional theory data (SCAN) for a crystal of AsSe relaxed with PBEsol.

Properties
Calculated volume: 25.082 Å³ per atom
Raw formation energy: -0.11 eV/atom
E_tot: -20.245 eV/atom

a b c (Å): 6.631 13.682 9.647
angles (deg): 90.00 113.49 90.00
Space group P2_1/c (No. 14)
One atom of each set of equivalent atoms:
As 0.062 0.138 0.438 [4 per cell]
As 0.154 0.019 0.898 [4 per cell]
As 0.165 0.663 0.471 [4 per cell]
As 0.359 0.634 0.171 [4 per cell]
Se 0.123 0.233 0.246 [4 per cell]
Se 0.150 0.515 0.850 [4 per cell]
Se 0.427 0.025 0.791 [4 per cell]
Se 0.454 0.723 0.404 [4 per cell]



(9)
Density functional theory data (SCAN) for a crystal of AsSe relaxed with PBEsol.

Properties
Calculated volume: 29.755 Å³ per atom
Raw formation energy: -0.04 eV/atom
E_tot: -20.176 eV/atom

a b c (Å): 5.342 3.497 6.371
angles (deg): 90.00 90.00 90.00
Space group Pmma (No. 51)
One atom of each set of equivalent atoms:
As 0.250 0.000 0.010 [2 per cell]
Se 0.250 0.500 0.273 [2 per cell]



(10)
Density functional theory data (SCAN) for a crystal of SiAsSe2 relaxed with PBEsol.

Properties
ΔE to the lowest computed polymorph: 0.0 meV/atom
Calculated volume: 21.569 Å³ per atom
Raw formation energy: 0.30 eV/atom
E_tot: -17.294 eV/atom

a b c (Å): 3.308 3.308 7.885
angles (deg): 90.00 90.00 90.00
Space group P4mm (No. 99)
One atom of each set of equivalent atoms:
Si 0.000 0.000 0.000 [1 per cell]
As 0.500 0.500 0.331 [1 per cell]
Se 0.000 0.000 0.479 [1 per cell]
Se 0.500 0.500 0.857 [1 per cell]



(11)
Density functional theory data (SCAN) for a crystal of SiAsSe2 relaxed with PBEsol.

Properties
ΔE to the lowest computed polymorph: 119.9 meV/atom
Calculated volume: 21.235 Å³ per atom
Raw formation energy: 0.42 eV/atom
E_tot: -17.174 eV/atom

a b c (Å): 3.596 6.389 7.394
angles (deg): 90.00 90.00 90.00
Space group Cmmm (No. 65)
One atom of each set of equivalent atoms:
Si 0.000 0.000 0.000 [2 per cell]
As 0.000 0.000 0.500 [2 per cell]
Se 0.000 0.500 0.237 [4 per cell]



(12)
Density functional theory data (SCAN) for a crystal of SiAs2Se relaxed with PBEsol.

Properties
ΔE to the lowest computed polymorph: 0.0 meV/atom
Calculated volume: 19.444 Å³ per atom
Raw formation energy: 0.36 eV/atom
E_tot: -17.263 eV/atom

a b c (Å): 3.452 4.350 10.358
angles (deg): 90.00 90.00 90.00
Space group Imm2 (No. 44)
One atom of each set of equivalent atoms:
Si 0.000 0.000 0.000 [2 per cell]
As 0.000 0.000 0.525 [2 per cell]
As 0.000 0.500 0.681 [2 per cell]
Se 0.000 0.500 0.325 [2 per cell]